This record from the Alexandria database describes an optimized crystal structure of CoMoSe. The functional is PBE.

Values from the calculation:
offset from the most stable computed form = 53.1 kJ/mol of formula units
raw formation energy = 348.8 meV per atom
symmetry = F-43m, No. 216
VASP energy = -6.792 eV/atom

Lattice parameters (Å, degrees): 4.1341 4.1341 4.1341 60.00 60.00 60.00
Last column: nearest neighbours and their distance in Å.
Fractional positions:
Co: 0.5000 0.5000 0.5000  4 Mo 2.53
Mo: 0.2500 0.2500 0.2500  4 Se 2.53, 4 Co 2.53
Se: 0.0000 0.0000 0.0000  4 Mo 2.53



This record from the Alexandria database describes an optimized crystal structure of Pu2Ni2Ge3. The functional is PBE.

Values from the calculation:
formation energy from the elements = -0.45 eV per atom
symmetry = Cmcm, No. 63
VASP energy = -8.175 eV/atom

Lattice parameters (Å, degrees): 4.2137 6.7473 9.1413 90.00 103.33 90.00
Last column: nearest neighbours and their distance in Å.
Fractional positions:
Pu: 0.1587 0.2500 0.3175  6 Ni 2.85-3.03, 6 Ge 2.95-3.02
Pu: 0.8413 0.7500 0.6825  6 Ni 2.85-3.03, 6 Ge 2.95-3.02
Pu: 0.9510 0.2500 0.9021  9 Ge 2.99-3.22
Pu: 0.0490 0.7500 0.0979  9 Ge 2.99-3.22
Ni: 0.6993 0.9451 0.3985  4 Ge 2.46-2.51, 1 Ni 2.63
Ni: 0.3007 0.0549 0.6015  4 Ge 2.46-2.51, 1 Ni 2.63
Ni: 0.3007 0.4451 0.6015  4 Ge 2.46-2.51, 1 Ni 2.63
Ni: 0.6993 0.5549 0.3985  4 Ge 2.46-2.51, 1 Ni 2.63
Ge: 0.2196 0.7500 0.4392  6 Ni 2.51
Ge: 0.7804 0.2500 0.5608  6 Ni 2.51
Ge: 0.5678 0.4402 0.1356  1 Ni 2.46, 2 Ge 2.54-2.57
Ge: 0.4322 0.5598 0.8644  1 Ni 2.46, 2 Ge 2.54-2.57
Ge: 0.4322 0.9402 0.8644  1 Ni 2.46, 2 Ge 2.54-2.57
Ge: 0.5678 0.0598 0.1356  1 Ni 2.46, 2 Ge 2.54-2.57



This record from the Alexandria database describes an optimized crystal structure of BeSiS2N. The functional is PBE.

Values from the calculation:
offset from the most stable computed form = 0.0 kJ/mol of formula units
raw formation energy = 515.8 meV per atom
symmetry = P4/mmm, No. 123
VASP energy = -4.630 eV/atom

Lattice parameters (Å, degrees): 4.7164 4.7164 3.2719 90.00 90.00 90.00
Last column: nearest neighbours and their distance in Å.
Fractional positions:
Be: 0.5000 0.5000 0.5000  8 S 2.87
S: 0.0000 0.5000 0.0000  2 Si 2.36
S: 0.5000 0.0000 0.0000  2 Si 2.36
Si: 0.0000 0.0000 0.0000  2 N 1.64
N: 0.0000 0.0000 0.5000  2 Si 1.64